[1]
A plane-wave DFT calculation with GGA-PBE was carried out for a relaxed HoZrZn2Pt4 crystal.

## Properties
Space-group type ... P4/mmm
ΔH_f (0 K) ... -0.852 eV/atom
Total energy ... -0.429 Ry/atom

Cell and atoms, written as extended XYZ:
```
8
Lattice="4.630 0.000 0.000 0.000 4.630 0.000 0.000 0.000 6.534" Properties=species:S:1:pos:R:3 pbc="T T T"
Ho 0.000 0.000 3.267
Pt 2.315 0.000 1.549
Pt 0.000 2.315 1.549
Pt 2.315 0.000 4.985
Pt 0.000 2.315 4.985
Zn 0.000 0.000 0.000
Zn 2.315 2.315 3.267
Zr 2.315 2.315 0.000
```

=====

[2]
A plane-wave DFT calculation with GGA-PBE was carried out for a relaxed HoPu crystal.

## Properties
Space-group type ... Fm-3m
ΔE to the lowest computed polymorph ... 0.691 eV per atom
ΔH_f (0 K) ... 0.791 eV/atom
Total energy ... -0.629 Ry/atom

Cell and atoms, written as extended XYZ:
```
2
Lattice="0.000 3.172 3.172 3.172 0.000 3.172 3.172 3.172 0.000" Properties=species:S:1:pos:R:3 pbc="T T T"
Ho 0.000 0.000 0.000
Pu 3.172 3.172 3.172
```

=====

[3]
A plane-wave DFT calculation with GGA-PBE was carried out for a relaxed HoPu crystal.

## Properties
Space-group type ... F-43m
ΔE to the lowest computed polymorph ... 1.644 eV per atom
ΔH_f (0 K) ... 1.743 eV/atom
Total energy ... -0.559 Ry/atom

Cell and atoms, written as extended XYZ:
```
2
Lattice="0.000 3.316 3.316 3.316 0.000 3.316 3.316 3.316 0.000" Properties=species:S:1:pos:R:3 pbc="T T T"
Ho 0.000 0.000 0.000
Pu 1.658 1.658 1.658
```

=====

[4]
A plane-wave DFT calculation with GGA-PBE was carried out for a relaxed HoPu crystal.

## Properties
Space-group type ... P-6m2
ΔE to the lowest computed polymorph ... 0.000 eV per atom
ΔH_f (0 K) ... 0.100 eV/atom
Total energy ... -0.680 Ry/atom

Cell and atoms, written as extended XYZ:
```
2
Lattice="3.442 0.000 0.000 -1.721 2.981 0.000 0.000 0.000 5.638" Properties=species:S:1:pos:R:3 pbc="T T T"
Ho 1.721 0.994 4.229
Pu 0.000 1.987 1.410
```

=====

[5]
A plane-wave DFT calculation with GGA-PBE was carried out for a relaxed RbHoPu crystal.

## Properties
Space-group type ... F-43m
ΔE to the lowest computed polymorph ... 0.000 eV per atom
Total energy ... -0.386 Ry/atom

Cell and atoms, written as extended XYZ:
```
3
Lattice="0.000 4.114 4.114 4.114 0.000 4.114 4.114 4.114 0.000" Properties=species:S:1:pos:R:3 pbc="T T T"
Ho 2.057 2.057 2.057
Pu 0.000 0.000 0.000
Rb 6.171 6.171 6.171
```

=====

[6]
A plane-wave DFT calculation with GGA-PBE was carried out for a relaxed RbHoPu crystal.

## Properties
Space-group type ... F-43m
ΔE to the lowest computed polymorph ... 0.139 eV per atom
Total energy ... -0.375 Ry/atom

Cell and atoms, written as extended XYZ:
```
3
Lattice="2.013 -4.956 2.205 -3.407 -4.671 0.202 1.051 -4.500 -3.482" Properties=species:S:1:pos:R:3 pbc="T T T"
Ho -0.086 -3.532 -0.269
Pu -0.258 -10.595 -0.806
Rb 0.000 0.000 0.000
```